# Rb2DySnSe5 PBE-GGA relaxed
data_Rb2DySnSe5
_cell_length_a 4.1208
_cell_length_b 10.5296
_cell_length_c 15.0557
_cell_angle_alpha 90.00
_cell_angle_beta 90.00
_cell_angle_gamma 101.28
_space_group_name_H-M_alt 'P 1'
_space_group_IT_number 1
_space_group_name_Hall 'P 1'
loop_
_atom_site_label
_atom_site_fract_x
_atom_site_fract_y
_atom_site_fract_z
_atom_site_occupancy
Rb1 0.8616 0.7232 0.8238 1
Rb2 0.1294 0.2587 0.6894 1
Rb3 0.1384 0.2768 0.3238 1
Rb4 0.8706 0.7413 0.1894 1
Dy1 0.7976 0.5953 0.5288 1
Dy2 0.2024 0.4047 0.0288 1
Sn1 0.5604 0.1208 0.9206 1
Sn2 0.4396 0.8792 0.4206 1
Se1 0.3344 0.6687 0.0108 1
Se2 0.6824 0.3648 0.8872 1
Se3 0.4981 0.9962 0.7798 1
Se4 0.3045 0.6090 0.6525 1
Se5 0.9512 0.9024 0.5310 1
Se6 0.6656 0.3313 0.5108 1
Se7 0.3176 0.6352 0.3872 1
Se8 0.5019 0.0038 0.2798 1
Se9 0.6955 0.3910 0.1525 1
Se10 0.0488 0.0976 0.0310 1
# formation energy (no corrections): -1.008 eV per atom
# spin magnetization: 0.9 μB/f.u.


# Sc3Au2 PBE-GGA relaxed
data_Sc3Au2
_cell_length_a 4.7109
_cell_length_b 4.7109
_cell_length_c 5.8150
_cell_angle_alpha 90.00
_cell_angle_beta 90.00
_cell_angle_gamma 120.00
_space_group_name_H-M_alt 'P 1'
_space_group_IT_number 1
_space_group_name_Hall 'P 1'
loop_
_atom_site_label
_atom_site_fract_x
_atom_site_fract_y
_atom_site_fract_z
_atom_site_occupancy
Sc1 0.0000 0.0000 0.0000 1
Sc2 0.6667 0.3333 0.6587 1
Sc3 0.3333 0.6667 0.3413 1
Au1 0.6667 0.3333 0.1755 1
Au2 0.3333 0.6667 0.8245 1
# energy of formation from the pure elements: -0.574 eV per atom
# spin magnetization: 0.0 μB/f.u.


# CsUTcN4 PBE-GGA relaxed
data_CsUTcN4
_cell_length_a 5.9930
_cell_length_b 5.7380
_cell_length_c 8.3880
_cell_angle_alpha 90.00
_cell_angle_beta 108.42
_cell_angle_gamma 90.00
_space_group_name_H-M_alt 'P 1'
_space_group_IT_number 1
_space_group_name_Hall 'P 1'
loop_
_atom_site_label
_atom_site_fract_x
_atom_site_fract_y
_atom_site_fract_z
_atom_site_occupancy
Cs1 0.7092 0.7500 0.9376 1
Cs2 0.2908 0.2500 0.0624 1
U1 0.7969 0.7500 0.4616 1
U2 0.2031 0.2500 0.5384 1
Tc1 0.2543 0.7500 0.3607 1
Tc2 0.7457 0.2500 0.6393 1
N1 0.9803 0.4868 0.6517 1
N2 0.0197 0.9868 0.3483 1
N3 0.0197 0.5132 0.3483 1
N4 0.9803 0.0132 0.6517 1
N5 0.4496 0.7500 0.2344 1
N6 0.5504 0.2500 0.7656 1
N7 0.4905 0.7500 0.5588 1
N8 0.5095 0.2500 0.4412 1
# formation energy (no corrections): -0.464 eV per atom
# spin magnetization: 0.0 μB/f.u.


# HfZrMn2Ir PBE-GGA relaxed
data_HfZrMn2Ir
_cell_length_a 4.3448
_cell_length_b 5.1041
_cell_length_c 4.3448
_cell_angle_alpha 90.00
_cell_angle_beta 90.00
_cell_angle_gamma 90.00
_space_group_name_H-M_alt 'P 1'
_space_group_IT_number 1
_space_group_name_Hall 'P 1'
loop_
_atom_site_label
_atom_site_fract_x
_atom_site_fract_y
_atom_site_fract_z
_atom_site_occupancy
Mn1 0.0000 0.0000 0.5000 1
Mn2 0.5000 0.0000 0.0000 1
Ir1 0.5000 0.5000 0.5000 1
Hf1 0.0000 0.0000 0.0000 1
Zr1 0.0000 0.5000 0.0000 1
# energy of formation from the pure elements: 1.730 eV per atom
# spin magnetization: 0.0 μB/f.u.


# Dy4PaRh5 PBE-GGA relaxed
data_Dy4PaRh5
_cell_length_a 3.4305
_cell_length_b 3.4305
_cell_length_c 17.3948
_cell_angle_alpha 90.00
_cell_angle_beta 90.00
_cell_angle_gamma 90.00
_space_group_name_H-M_alt 'P 1'
_space_group_IT_number 1
_space_group_name_Hall 'P 1'
loop_
_atom_site_label
_atom_site_fract_x
_atom_site_fract_y
_atom_site_fract_z
_atom_site_occupancy
Dy1 0.0000 0.0000 0.2039 1
Dy2 0.0000 0.0000 0.4008 1
Dy3 0.0000 0.0000 0.5992 1
Dy4 0.0000 0.0000 0.7961 1
Pa1 0.0000 0.0000 0.0000 1
Rh1 0.5000 0.5000 0.0901 1
Rh2 0.5000 0.5000 0.3003 1
Rh3 0.5000 0.5000 0.5000 1
Rh4 0.5000 0.5000 0.6997 1
Rh5 0.5000 0.5000 0.9099 1
# energy of formation from the pure elements: -0.827 eV per atom
# spin magnetization: 0.0 μB/f.u.


# RbInTcI2 PBE-GGA relaxed
data_RbInTcI2
_cell_length_a 6.5587
_cell_length_b 5.3970
_cell_length_c 6.5587
_cell_angle_alpha 90.00
_cell_angle_beta 90.00
_cell_angle_gamma 90.00
_space_group_name_H-M_alt 'P 1'
_space_group_IT_number 1
_space_group_name_Hall 'P 1'
loop_
_atom_site_label
_atom_site_fract_x
_atom_site_fract_y
_atom_site_fract_z
_atom_site_occupancy
I1 0.0000 0.0000 0.5000 1
I2 0.5000 0.0000 0.0000 1
Tc1 0.0000 0.5000 0.0000 1
Rb1 0.5000 0.5000 0.5000 1
In1 0.0000 0.0000 0.0000 1
# formation energy (no corrections): 0.291 eV per atom
# spin magnetization: 4.4 μB/f.u.


# CuNiTe3 PBE-GGA relaxed
data_CuNiTe3
_cell_length_a 5.0494
_cell_length_b 5.0494
_cell_length_c 5.0494
_cell_angle_alpha 90.00
_cell_angle_beta 90.00
_cell_angle_gamma 90.00
_space_group_name_H-M_alt 'P 1'
_space_group_IT_number 1
_space_group_name_Hall 'P 1'
loop_
_atom_site_label
_atom_site_fract_x
_atom_site_fract_y
_atom_site_fract_z
_atom_site_occupancy
Ni1 0.0000 0.0000 0.0000 1
Te1 0.0000 0.5000 0.0000 1
Te2 0.0000 0.0000 0.5000 1
Te3 0.5000 0.0000 0.0000 1
Cu1 0.5000 0.5000 0.5000 1
# formation energy (no corrections): 0.580 eV per atom
# spin magnetization: 0.0 μB/f.u.


# ZrSbMo2 PBE-GGA relaxed
data_ZrSbMo2
_cell_length_a 5.5126
_cell_length_b 5.5126
_cell_length_c 3.0283
_cell_angle_alpha 76.10
_cell_angle_beta 76.10
_cell_angle_gamma 115.00
_space_group_name_H-M_alt 'P 1'
_space_group_IT_number 1
_space_group_name_Hall 'P 1'
loop_
_atom_site_label
_atom_site_fract_x
_atom_site_fract_y
_atom_site_fract_z
_atom_site_occupancy
Mo1 0.0000 0.0000 0.0000 1
Mo2 0.5000 0.5000 0.0000 1
Sb1 0.5000 0.0000 0.5000 1
Zr1 0.0000 0.5000 0.5000 1
# formation energy (no corrections): 0.179 eV per atom
# spin magnetization: 0.0 μB/f.u.


# AcNdSc PBE-GGA relaxed
data_AcNdSc
_cell_length_a 5.0666
_cell_length_b 5.0666
_cell_length_c 8.5412
_cell_angle_alpha 90.00
_cell_angle_beta 90.00
_cell_angle_gamma 90.00
_space_group_name_H-M_alt 'P 1'
_space_group_IT_number 1
_space_group_name_Hall 'P 1'
loop_
_atom_site_label
_atom_site_fract_x
_atom_site_fract_y
_atom_site_fract_z
_atom_site_occupancy
Sc1 0.0000 0.5000 0.7118 1
Sc2 0.5000 0.0000 0.2882 1
Ac1 0.5000 0.5000 0.0000 1
Ac2 0.0000 0.0000 0.0000 1
Nd1 0.5000 0.0000 0.6824 1
Nd2 0.0000 0.5000 0.3176 1
# energy of formation from the pure elements: 0.357 eV per atom
# spin magnetization: 0.0 μB/f.u.


# PmY3Tm3Se8 PBE-GGA relaxed
data_PmY3Tm3Se8
_cell_length_a 8.0906
_cell_length_b 8.0911
_cell_length_c 8.0931
_cell_angle_alpha 119.99
_cell_angle_beta 90.00
_cell_angle_gamma 120.00
_space_group_name_H-M_alt 'P 1'
_space_group_IT_number 1
_space_group_name_Hall 'P 1'
loop_
_atom_site_label
_atom_site_fract_x
_atom_site_fract_y
_atom_site_fract_z
_atom_site_occupancy
Pm1 0.0000 0.0000 0.5000 1
Y1 0.0000 0.0000 0.0000 1
Y2 0.0000 0.5000 0.0000 1
Y3 0.5000 0.5000 0.0000 1
Tm1 0.5000 0.0000 0.5000 1
Tm2 0.5000 0.5000 0.5000 1
Tm3 0.0000 0.5000 0.5000 1
Se1 0.2521 0.5041 0.2562 1
Se2 0.7479 0.4959 0.7438 1
Se3 0.7405 0.4810 0.2448 1
Se4 0.2595 0.5190 0.7552 1
Se5 0.7405 0.0043 0.2448 1
Se6 0.2595 0.9957 0.7552 1
Se7 0.2638 0.0043 0.2448 1
Se8 0.7362 0.9957 0.7552 1
# formation energy (no corrections): -1.808 eV per atom
# spin magnetization: 0.0 μB/f.u.


# Te2PdRhI PBE-GGA relaxed
data_Te2PdRhI
_cell_length_a 5.1370
_cell_length_b 5.1370
_cell_length_c 5.5300
_cell_angle_alpha 90.00
_cell_angle_beta 90.00
_cell_angle_gamma 90.00
_space_group_name_H-M_alt 'P 1'
_space_group_IT_number 1
_space_group_name_Hall 'P 1'
loop_
_atom_site_label
_atom_site_fract_x
_atom_site_fract_y
_atom_site_fract_z
_atom_site_occupancy
I1 0.0000 0.0000 0.5000 1
Te1 0.0000 0.5000 0.0000 1
Te2 0.5000 0.0000 0.0000 1
Rh1 0.0000 0.0000 0.0000 1
Pd1 0.5000 0.5000 0.5000 1
# formation energy (no corrections): 0.564 eV per atom
# spin magnetization: 0.0 μB/f.u.


# PrPu2Se4 PBE-GGA relaxed
data_PrPu2Se4
_cell_length_a 4.1078
_cell_length_b 7.1304
_cell_length_c 13.9498
_cell_angle_alpha 90.00
_cell_angle_beta 90.00
_cell_angle_gamma 106.74
_space_group_name_H-M_alt 'P 1'
_space_group_IT_number 1
_space_group_name_Hall 'P 1'
loop_
_atom_site_label
_atom_site_fract_x
_atom_site_fract_y
_atom_site_fract_z
_atom_site_occupancy
Pr1 0.6183 0.2366 0.7500 1
Pr2 0.3817 0.7634 0.2500 1
Pu1 0.1330 0.2660 0.4342 1
Pu2 0.8670 0.7340 0.9342 1
Pu3 0.1330 0.2660 0.0658 1
Pu4 0.8670 0.7340 0.5658 1
Se1 0.7735 0.5471 0.1232 1
Se2 0.7735 0.5471 0.3768 1
Se3 0.2265 0.4529 0.8768 1
Se4 0.2265 0.4529 0.6232 1
Se5 0.9615 0.9230 0.7500 1
Se6 0.0385 0.0770 0.2500 1
Se7 0.5000 0.0000 0.0000 1
Se8 0.5000 0.0000 0.5000 1
# formation energy (no corrections): -1.628 eV per atom
# spin magnetization: 11.0 μB/f.u.


# Ta3RuRh2 PBE-GGA relaxed
data_Ta3RuRh2
_cell_length_a 4.1342
_cell_length_b 7.5575
_cell_length_c 7.5575
_cell_angle_alpha 111.33
_cell_angle_beta 105.87
_cell_angle_gamma 105.87
_space_group_name_H-M_alt 'P 1'
_space_group_IT_number 1
_space_group_name_Hall 'P 1'
loop_
_atom_site_label
_atom_site_fract_x
_atom_site_fract_y
_atom_site_fract_z
_atom_site_occupancy
Ta1 0.4912 0.8233 0.6590 1
Ta2 0.9912 0.6590 0.8233 1
Ta3 0.5000 0.5000 0.0000 1
Ta4 0.5088 0.1767 0.3410 1
Ta5 0.0000 0.0000 0.5000 1
Ta6 0.0088 0.3410 0.1767 1
Ru1 0.2500 0.4116 0.5884 1
Ru2 0.7500 0.5884 0.4116 1
Rh1 0.2500 0.0809 0.9191 1
Rh2 0.2500 0.7573 0.2427 1
Rh3 0.7500 0.9191 0.0809 1
Rh4 0.7500 0.2427 0.7573 1
# energy of formation from the pure elements: -0.406 eV per atom
# spin magnetization: 0.0 μB/f.u.


# FeH2PtN PBE-GGA relaxed
data_FeH2PtN
_cell_length_a 3.3363
_cell_length_b 3.6216
_cell_length_c 3.3363
_cell_angle_alpha 90.00
_cell_angle_beta 90.00
_cell_angle_gamma 90.00
_space_group_name_H-M_alt 'P 1'
_space_group_IT_number 1
_space_group_name_Hall 'P 1'
loop_
_atom_site_label
_atom_site_fract_x
_atom_site_fract_y
_atom_site_fract_z
_atom_site_occupancy
H1 0.0000 0.0000 0.5000 1
H2 0.5000 0.0000 0.0000 1
Fe1 0.0000 0.0000 0.0000 1
Pt1 0.5000 0.5000 0.5000 1
N1 0.0000 0.5000 0.0000 1
# spin magnetization: 0.0 μB/f.u.
# energy: -5.29 eV per atom


# Co2Ir PBE-GGA relaxed
data_Co2Ir
_cell_length_a 4.9125
_cell_length_b 4.9125
_cell_length_c 9.9410
_cell_angle_alpha 140.48
_cell_angle_beta 140.48
_cell_angle_gamma 31.07
_space_group_name_H-M_alt 'P 1'
_space_group_IT_number 1
_space_group_name_Hall 'P 1'
loop_
_atom_site_label
_atom_site_fract_x
_atom_site_fract_y
_atom_site_fract_z
_atom_site_occupancy
Co1 0.9901 0.9901 0.9899 1
Co2 0.1114 0.1114 0.7233 1
Co3 0.3369 0.3369 0.6679 1
Co4 0.6699 0.6699 0.3367 1
Ir1 0.4495 0.4495 0.3979 1
Ir2 0.7755 0.7755 0.0510 1
# energy of formation from the pure elements: 0.018 eV per atom
# spin magnetization: 3.7 μB/f.u.


# ZrPdRh PBE-GGA relaxed
data_ZrPdRh
_cell_length_a 3.7702
_cell_length_b 13.1360
_cell_length_c 4.0767
_cell_angle_alpha 90.00
_cell_angle_beta 90.00
_cell_angle_gamma 90.00
_space_group_name_H-M_alt 'P 1'
_space_group_IT_number 1
_space_group_name_Hall 'P 1'
loop_
_atom_site_label
_atom_site_fract_x
_atom_site_fract_y
_atom_site_fract_z
_atom_site_occupancy
Rh1 0.0000 0.0799 0.2500 1
Rh2 0.0000 0.9201 0.7500 1
Rh3 0.5000 0.5799 0.2500 1
Rh4 0.5000 0.4201 0.7500 1
Zr1 0.0000 0.4033 0.2500 1
Zr2 0.0000 0.5967 0.7500 1
Zr3 0.5000 0.9033 0.2500 1
Zr4 0.5000 0.0967 0.7500 1
Pd1 0.0000 0.7484 0.2500 1
Pd2 0.0000 0.2516 0.7500 1
Pd3 0.5000 0.2484 0.2500 1
Pd4 0.5000 0.7516 0.7500 1
# energy of formation from the pure elements: -0.749 eV per atom
# spin magnetization: 0.0 μB/f.u.